# Al2CrCu

Al2CrCu after structural relaxation (GGA-PBEsol, Alexandria).

```
4
Lattice="4.213 -1.316 0.000 4.213 1.316 0.000 -0.940 0.000 4.694" Properties=species:S:1:pos:R:3 pbc="T T T"
Al 1.834 0.000 1.193
Al 5.652 0.000 3.501
Cr -0.470 0.000 2.347
Cu 4.213 0.000 0.000
```

Values from the calculation:
calculated total energy: -22.53 eV for the cell shown
crystal system: monoclinic
ΔE_f: 56 meV per atom